No. 1
DFT (GGA-PBE) results for a geometry-optimized NaTlNiPb2 structure.

Unit cell a=5.078 b=5.078 c=5.472 alpha=90.00 beta=90.00 gamma=90.00
Space group P4/mmm (No. 123)
Inequivalent atoms, fractional coordinates:
Na  0.000  0.000  0.000 [1 per cell]
Tl  0.500  0.500  0.000 [1 per cell]
Ni  0.000  0.000  0.500 [1 per cell]
Pb  0.000  0.500  0.500 [2 per cell]

=====

No. 2
DFT (GGA-PBE) results for a geometry-optimized NaNi2PbW structure.

Unit cell a=4.898 b=4.898 c=5.304 alpha=90.00 beta=90.00 gamma=90.00
Space group P4/mmm (No. 123)
Inequivalent atoms, fractional coordinates:
Na  0.000  0.000  0.000 [1 per cell]
Ni  0.000  0.500  0.500 [2 per cell]
Pb  0.500  0.500  0.500 [1 per cell]
W  0.500  0.500  0.000 [1 per cell]

=====

No. 3
DFT (GGA-PBE) results for a geometry-optimized NaZn2NiPb structure.

Unit cell a=4.756 b=4.756 c=4.968 alpha=90.00 beta=90.00 gamma=90.00
Space group P4/mmm (No. 123)
Inequivalent atoms, fractional coordinates:
Na  0.000  0.000  0.000 [1 per cell]
Zn  0.000  0.500  0.500 [2 per cell]
Ni  0.500  0.500  0.500 [1 per cell]
Pb  0.500  0.500  0.000 [1 per cell]

=====

No. 4
DFT (GGA-PBE) results for a geometry-optimized NaZr2NiPb structure.

Unit cell a=4.962 b=4.962 c=4.974 alpha=90.00 beta=90.00 gamma=90.00
Space group P4/mmm (No. 123)
Inequivalent atoms, fractional coordinates:
Na  0.000  0.000  0.000 [1 per cell]
Zr  0.000  0.500  0.000 [2 per cell]
Ni  0.500  0.500  0.500 [1 per cell]
Pb  0.000  0.000  0.500 [1 per cell]

=====

No. 5
DFT (GGA-PBE) results for a geometry-optimized Na3NiPd structure.

Unit cell a=5.126 b=5.126 c=5.126 alpha=90.00 beta=90.00 gamma=90.00
Space group Pm-3m (No. 221)
Inequivalent atoms, fractional coordinates:
Na  0.000  0.000  0.500 [3 per cell]
Ni  0.000  0.000  0.000 [1 per cell]
Pd  0.500  0.500  0.500 [1 per cell]

=====

No. 6
DFT (GGA-PBE) results for a geometry-optimized NaNiPd2 structure.

Unit cell a=6.230 b=6.230 c=6.230 alpha=90.00 beta=90.00 gamma=90.00
Space group Fm-3m (No. 225)
Inequivalent atoms, fractional coordinates:
Na  0.000  0.000  0.000 [4 per cell]
Ni  0.000  0.000  0.500 [4 per cell]
Pd  0.250  0.250  0.250 [8 per cell]

Summary:
Offset from the most stable computed form ... 145.9 meV per atom

=====

No. 7
DFT (GGA-PBE) results for a geometry-optimized NaNiPd3 structure.

Unit cell a=4.579 b=4.579 c=4.579 alpha=90.00 beta=90.00 gamma=90.00
Space group Pm-3m (No. 221)
Inequivalent atoms, fractional coordinates:
Na  0.000  0.000  0.000 [1 per cell]
Ni  0.500  0.500  0.500 [1 per cell]
Pd  0.000  0.000  0.500 [3 per cell]

Summary:
Offset from the most stable computed form ... 818.2 meV per atom

=====

No. 8
DFT (GGA-PBE) results for a geometry-optimized NaNi2Pd structure.

Unit cell a=3.757 b=3.757 c=18.235 alpha=90.00 beta=90.00 gamma=90.00
Space group I-42d (No. 122)
Inequivalent atoms, fractional coordinates:
Na  0.000  0.000  0.000 [4 per cell]
Ni  0.189  0.250  0.625 [8 per cell]
Pd  0.000  0.000  0.500 [4 per cell]

Summary:
Offset from the most stable computed form ... 186.7 meV per atom

=====

No. 9
DFT (GGA-PBE) results for a geometry-optimized NaNi2Pd2 structure.

Unit cell a=7.508 b=7.508 c=2.684 alpha=90.00 beta=90.00 gamma=90.00
Space group P4/mbm (No. 127)
Inequivalent atoms, fractional coordinates:
Na  0.000  0.000  0.000 [2 per cell]
Ni  0.114  0.386  0.000 [4 per cell]
Pd  0.180  0.680  0.500 [4 per cell]

Summary:
Offset from the most stable computed form ... 0.0 meV per atom

=====

No. 10
DFT (GGA-PBE) results for a geometry-optimized NaNi2Pd2 structure.

Unit cell a=3.570 b=3.570 c=12.625 alpha=90.00 beta=90.00 gamma=90.00
Space group I4/mmm (No. 139)
Inequivalent atoms, fractional coordinates:
Na  0.000  0.000  0.000 [2 per cell]
Ni  0.000  0.500  0.250 [4 per cell]
Pd  0.000  0.000  0.392 [4 per cell]

Summary:
Offset from the most stable computed form ... 203.4 meV per atom

=====

No. 11
DFT (GGA-PBE) results for a geometry-optimized NaNi2Pd2 structure.

Unit cell a=7.553 b=7.553 c=2.679 alpha=90.00 beta=90.00 gamma=90.00
Space group P4/mbm (No. 127)
Inequivalent atoms, fractional coordinates:
Na  0.000  0.000  0.000 [2 per cell]
Ni  0.162  0.338  0.500 [4 per cell]
Pd  0.134  0.634  0.000 [4 per cell]

Summary:
Offset from the most stable computed form ... 38.1 meV per atom

=====

No. 12
DFT (GGA-PBE) results for a geometry-optimized NaNiPd2 structure.

Unit cell a=3.888 b=3.888 c=17.979 alpha=90.00 beta=90.00 gamma=90.00
Space group I-42d (No. 122)
Inequivalent atoms, fractional coordinates:
Na  0.000  0.000  0.000 [4 per cell]
Ni  0.000  0.000  0.500 [4 per cell]
Pd  0.233  0.250  0.625 [8 per cell]

Summary:
Offset from the most stable computed form ... 415.1 meV per atom

=====

Number 1: calculated volume 141.1 Å³/f.u., ΔH_f (0 K) 0.07 eV/atom, uncorrected energy -3.3108 eV per atom. Number 2: calculated volume 127.2 Å³/f.u., ΔH_f (0 K) 1.70 eV/atom, uncorrected energy -4.2076 eV per atom. Number 3: calculated volume 112.4 Å³/f.u., ΔH_f (0 K) 0.04 eV/atom, uncorrected energy -2.6337 eV per atom. Number 4: calculated volume 122.5 Å³/f.u., ΔH_f (0 K) 1.54 eV/atom, uncorrected energy -4.0373 eV per atom. Number 5: calculated volume 134.7 Å³/f.u., ΔH_f (0 K) 0.71 eV/atom, uncorrected energy -2.2808 eV per atom. Number 6: calculated volume 60.5 Å³/f.u., ΔH_f (0 K) 0.16 eV/atom, uncorrected energy -4.2089 eV per atom. Number 7: calculated volume 96.0 Å³/f.u., ΔH_f (0 K) 1.29 eV/atom, uncorrected energy -3.2466 eV per atom. Number 8: calculated volume 64.3 Å³/f.u., ΔH_f (0 K) 0.58 eV/atom, uncorrected energy -3.9423 eV per atom. Number 9: calculated volume 75.7 Å³/f.u., ΔH_f (0 K) 0.06 eV/atom, uncorrected energy -4.5903 eV per atom. Number 10: calculated volume 80.4 Å³/f.u., ΔH_f (0 K) 0.27 eV/atom, uncorrected energy -4.3870 eV per atom. Number 11: calculated volume 76.4 Å³/f.u., ΔH_f (0 K) 0.10 eV/atom, uncorrected energy -4.5522 eV per atom. Number 12: calculated volume 67.9 Å³/f.u., ΔH_f (0 K) 0.43 eV/atom, uncorrected energy -3.9397 eV per atom.